First-principles (GGA-PBE) data for an optimized crystal structure of Cs4Mg3InCl12, as listed in the Alexandria database.

## Properties
**Mass density**: 3318 kg/m³
**Raw formation energy**: -1.77 eV/atom

a = 10.464 Å, b = 10.464 Å, c = 10.464 Å
α = 90.00°, β = 90.00°, γ = 90.00°
Space group Im-3m (No. 229)
Unique sites:
Cs 0.250 0.250 0.250 (multiplicity 8)
Mg 0.000 0.000 0.500 (multiplicity 6)
In 0.000 0.000 0.000 (multiplicity 2)
Cl 0.000 0.000 0.262 (multiplicity 12)
Cl 0.000 0.250 0.500 (multiplicity 12)